This record from Alexandria via LeMat-Bulk describes an optimized crystal structure of Pr4Dy8Ho3. The functional is PBE-GGA.

Lattice parameters (Å, degrees): 6.9709 6.9709 12.5479 73.87 73.87 60.00
Fractional positions:
Dy (0.7555, 0.7555, 0.7334)
Dy (0.2466, 0.7494, 0.2547)
Dy (0.7494, 0.2466, 0.2547)
Dy (0.2506, 0.7534, 0.7453)
Dy (0.2445, 0.2445, 0.2666)
Dy (0.2506, 0.2506, 0.7453)
Dy (0.7534, 0.2506, 0.7453)
Dy (0.7494, 0.7494, 0.2547)
Pr (0.0000, 0.0000, 0.0000)
Pr (0.6635, 0.6635, 0.0095)
Pr (0.5000, 0.5000, 0.5000)
Pr (0.3365, 0.3365, 0.9905)
Ho (0.5000, 0.0000, 0.5000)
Ho (0.0000, 0.0000, 0.5000)
Ho (0.0000, 0.5000, 0.5000)

Values from the calculation:
ΔE_f = 115 meV/atom
Energy above the lowest structure with this stoichiometry = 0.00 eV/f.u.
M_tot = 0.00 μB per formula unit